DFT (PBE) results for a geometry-optimized AcPm4Se6 structure. Values from VASP.

Computed properties:
Formation energy (no corrections) ... -20.97 eV per formula unit
Energy ... -5.91 eV per atom
M_tot ... 0.00 Bohr magnetons per cell
SG ... Cmcm

The structure in Quantum ESPRESSO input format:
```
&SYSTEM
  ibrav = 0, nat = 22, ntyp = 3
/
ATOMIC_SPECIES
Ac 227.00 Ac.upf
Pm 145.00 Pm.upf
Se 78.96 Se.upf
ATOMIC_POSITIONS crystal
Ac 0.158 0.842 0.750
Ac 0.842 0.158 0.250
Pm 0.093 0.907 0.125
Pm 0.093 0.907 0.375
Pm 0.359 0.641 0.038
Pm 0.359 0.641 0.462
Pm 0.641 0.359 0.538
Pm 0.641 0.359 0.962
Pm 0.907 0.093 0.625
Pm 0.907 0.093 0.875
Se 0.000 0.000 0.000
Se 0.000 0.000 0.500
Se 0.179 0.821 0.250
Se 0.266 0.734 0.592
Se 0.266 0.734 0.908
Se 0.453 0.547 0.164
Se 0.453 0.547 0.336
Se 0.547 0.453 0.664
Se 0.547 0.453 0.836
Se 0.734 0.266 0.092
Se 0.734 0.266 0.408
Se 0.821 0.179 0.750
CELL_PARAMETERS angstrom
2.103 -6.891 0.000
2.103 6.891 0.000
0.000 0.000 21.359
```